Material: Li3Mn4P6O24
Method: DFT, PBE with a Hubbard U
State: relaxed

Values from the calculation:
N(E_F): 0.019 states/eV/atom
SG: P1
Uncorrected energy: -259.81 eV per cell
Magnetic moment: 0.351 μB per atom
Polymorph energy (0 for the lowest one): 0 meV per atom
Crystal system: triclinic

POSCAR file:
```
Li3Mn4P6O24
1.0
8.710 -0.031 0.396
0.096 8.288 0.018
4.562 -4.087 6.320
Li Mn P O
3 4 6 24
Cartesian
7.017 5.272 1.129 Li
9.393 3.078 4.039 Li
4.006 0.638 1.275 Li
6.505 4.170 4.619 Mn
2.787 4.113 1.888 Mn
10.691 -0.033 4.661 Mn
6.976 -0.069 2.029 Mn
9.010 5.906 3.382 P
7.711 1.129 5.080 P
1.386 1.218 1.345 P
12.074 2.916 5.304 P
5.711 2.883 1.481 P
4.507 -1.837 3.229 P
4.809 3.349 5.018 O
5.602 -2.454 4.102 O
4.122 5.458 2.138 O
7.378 0.202 6.258 O
8.402 4.709 4.135 O
7.359 2.601 5.374 O
1.333 2.725 1.761 O
6.751 7.231 0.335 O
2.174 0.368 2.418 O
3.384 -1.327 4.145 O
4.162 2.759 1.756 O
6.519 3.493 2.606 O
6.959 0.618 3.828 O
9.261 1.260 4.788 O
10.115 5.437 2.411 O
11.278 3.722 4.223 O
2.264 0.976 0.127 O
12.001 1.374 5.092 O
6.040 1.395 1.151 O
5.115 -0.650 2.406 O
10.590 -0.287 6.591 O
9.373 -1.371 4.427 O
7.888 6.510 2.474 O
8.640 0.728 1.548 O
```